(1)
## Tb2PuIr3 (PBE)

Data for Tb2PuIr3 after structural relaxation.

Spin magnetization in μB/f.u.: 4.6

Unit cell a=5.413 b=8.192 c=6.811 alpha=108.23 beta=113.42 gamma=90.00
Site moments in Bohr magnetons follow the coordinates.
Sites, in units of the cell vectors:
Tb 0.723 0.604 0.421  0.08
Tb 0.698 0.104 0.421  0.08
Tb 0.302 0.896 0.579  0.08
Tb 0.277 0.396 0.579  0.08
Pu 0.731 0.750 0.000  4.76
Pu 0.269 0.250 0.000  4.76
Ir 0.743 0.250 0.000  -0.31
Ir 0.257 0.750 0.000  -0.31
Ir 0.103 0.058 0.232  -0.09
Ir 0.871 0.442 0.768  -0.09
Ir 0.129 0.558 0.232  -0.09
Ir 0.897 0.942 0.768  -0.09

***

(2)
## BaBeFe (PBE)

Data for BaBeFe after structural relaxation.

Spin magnetization in μB/f.u.: 2.7

Unit cell a=5.144 b=5.144 c=5.144 alpha=60.00 beta=60.00 gamma=60.00
Site moments in Bohr magnetons follow the coordinates.
Sites, in units of the cell vectors:
Be 0.000 0.000 0.000  -0.06
Ba 0.750 0.750 0.750  -0.09
Fe 0.500 0.500 0.500  3.05

***

(3)
## NdAs (PBE)

Data for NdAs after structural relaxation.

Spin magnetization in μB/f.u.: 0.0

Unit cell a=4.273 b=4.273 c=4.273 alpha=60.00 beta=60.00 gamma=60.00
Sites, in units of the cell vectors:
As 0.000 0.000 0.000
Nd 0.500 0.500 0.500

***

no.,volume (Å³ per cell),energy of formation (meV per atom)
1,260.6,-502
2,96.3,1667
3,55.2,-1513